A relaxed structure of Li8Mg. Source: Alexandria via LeMat-Bulk, functional PBE.

Cell and atoms, written as CIF:
```
data_Li8Mg
_cell_length_a 7.4276
_cell_length_b 7.4276
_cell_length_c 7.4276
_cell_angle_alpha 93.13
_cell_angle_beta 93.13
_cell_angle_gamma 152.96
_symmetry_space_group_name_H-M 'P 1'
_symmetry_Int_Tables_number 1
loop_
_symmetry_equiv_pos_as_xyz
'x,y,z'
loop_
_atom_site_label
_atom_site_type_symbol
_atom_site_fract_x
_atom_site_fract_y
_atom_site_fract_z
_atom_site_occupancy
Li1 Li 0.0000 0.3307 0.3307 1
Li2 Li 0.0000 0.6693 0.6693 1
Li3 Li 0.3307 0.0000 0.3307 1
Li4 Li 0.3316 0.3316 0.6632 1
Li5 Li 0.3316 0.6684 0.0000 1
Li6 Li 0.6684 0.3316 0.0000 1
Li7 Li 0.6684 0.6684 0.3368 1
Li8 Li 0.6693 0.0000 0.6693 1
Mg1 Mg 0.0000 0.0000 0.0000 1
```

Output
DFT total energy: -1.880 eV/atom
energy relative to the elements: -0.001 eV/atom
DOS at the Fermi energy: 4.66 states/eV/f.u.


A relaxed structure of Tl3VBr. Source: Alexandria via LeMat-Bulk, functional PBE.

Cell and atoms, written as CIF:
```
data_Tl3VBr
_cell_length_a 5.5217
_cell_length_b 5.5217
_cell_length_c 5.5217
_cell_angle_alpha 90.00
_cell_angle_beta 90.00
_cell_angle_gamma 90.00
_symmetry_space_group_name_H-M 'P 1'
_symmetry_Int_Tables_number 1
loop_
_symmetry_equiv_pos_as_xyz
'x,y,z'
loop_
_atom_site_label
_atom_site_type_symbol
_atom_site_fract_x
_atom_site_fract_y
_atom_site_fract_z
_atom_site_occupancy
Tl1 Tl 0.0000 0.0000 0.5000 1
Tl2 Tl 0.0000 0.5000 0.0000 1
Tl3 Tl 0.5000 0.0000 0.0000 1
V1 V 0.0000 0.0000 0.0000 1
Br1 Br 0.5000 0.5000 0.5000 1
```

Output
E_form (uncorrected): 4.33 kcal/mol of atoms
DFT total energy: -3.391 eV/atom
DOS at the Fermi energy: 1.27 states/eV/f.u.


A relaxed structure of SnS2. Source: Alexandria via LeMat-Bulk, functional PBE.

Cell and atoms, written as CIF:
```
data_SnS2
_cell_length_a 7.4455
_cell_length_b 7.4455
_cell_length_c 7.4455
_cell_angle_alpha 60.00
_cell_angle_beta 60.00
_cell_angle_gamma 60.00
_symmetry_space_group_name_H-M 'P 1'
_symmetry_Int_Tables_number 1
loop_
_symmetry_equiv_pos_as_xyz
'x,y,z'
loop_
_atom_site_label
_atom_site_type_symbol
_atom_site_fract_x
_atom_site_fract_y
_atom_site_fract_z
_atom_site_occupancy
Sn1 Sn 0.0000 0.0000 0.0000 1
Sn2 Sn 0.0000 0.0000 0.5000 1
Sn3 Sn 0.0000 0.5000 0.0000 1
Sn4 Sn 0.5000 0.0000 0.0000 1
S1 S 0.2407 0.7531 0.7531 1
S2 S 0.2469 0.2469 0.2469 1
S3 S 0.2469 0.2469 0.7593 1
S4 S 0.2469 0.7593 0.2469 1
S5 S 0.7531 0.2407 0.7531 1
S6 S 0.7531 0.7531 0.2407 1
S7 S 0.7531 0.7531 0.7531 1
S8 S 0.7593 0.2469 0.2469 1
```

Output
E_form (uncorrected): -8.54 kcal/mol of atoms
DFT total energy: -4.456 eV/atom


A relaxed structure of Nd2TmCu. Source: Alexandria via LeMat-Bulk, functional PBE.

Cell and atoms, written as CIF:
```
data_Nd2TmCu
_cell_length_a 3.6238
_cell_length_b 3.6238
_cell_length_c 8.5505
_cell_angle_alpha 90.00
_cell_angle_beta 90.00
_cell_angle_gamma 90.00
_symmetry_space_group_name_H-M 'P 1'
_symmetry_Int_Tables_number 1
loop_
_symmetry_equiv_pos_as_xyz
'x,y,z'
loop_
_atom_site_label
_atom_site_type_symbol
_atom_site_fract_x
_atom_site_fract_y
_atom_site_fract_z
_atom_site_occupancy
Nd1 Nd 0.0000 0.0000 0.2050 1
Nd2 Nd 0.0000 0.0000 0.7950 1
Tm1 Tm 0.5000 0.5000 0.5000 1
Cu1 Cu 0.5000 0.5000 0.0000 1
```

Output
DFT total energy: -4.561 eV/atom
energy relative to the elements: -0.035 eV/atom
DOS at the Fermi energy: 6.50 states/eV/f.u.


A relaxed structure of Ca4Zn3Ag. Source: Alexandria via LeMat-Bulk, functional PBE.

Cell and atoms, written as CIF:
```
data_Ca4Zn3Ag
_cell_length_a 9.0264
_cell_length_b 9.0264
_cell_length_c 9.0264
_cell_angle_alpha 33.63
_cell_angle_beta 33.63
_cell_angle_gamma 33.63
_symmetry_space_group_name_H-M 'P 1'
_symmetry_Int_Tables_number 1
loop_
_symmetry_equiv_pos_as_xyz
'x,y,z'
loop_
_atom_site_label
_atom_site_type_symbol
_atom_site_fract_x
_atom_site_fract_y
_atom_site_fract_z
_atom_site_occupancy
Ca1 Ca 0.1243 0.1243 0.1243 1
Ca2 Ca 0.3744 0.3744 0.3744 1
Ca3 Ca 0.6256 0.6256 0.6256 1
Ca4 Ca 0.8757 0.8757 0.8757 1
Zn1 Zn 0.0000 0.0000 0.0000 1
Zn2 Zn 0.2517 0.2517 0.2517 1
Zn3 Zn 0.7483 0.7483 0.7483 1
Ag1 Ag 0.5000 0.5000 0.5000 1
```

Output
DFT total energy: -2.085 eV/atom
energy relative to the elements: -0.250 eV/atom
DOS at the Fermi energy: 5.43 states/eV/f.u.


A relaxed structure of SrZr2In. Source: Alexandria via LeMat-Bulk, functional PBE.

Cell and atoms, written as CIF:
```
data_SrZr2In
_cell_length_a 3.2734
_cell_length_b 3.2734
_cell_length_c 10.1162
_cell_angle_alpha 90.00
_cell_angle_beta 90.00
_cell_angle_gamma 90.00
_symmetry_space_group_name_H-M 'P 1'
_symmetry_Int_Tables_number 1
loop_
_symmetry_equiv_pos_as_xyz
'x,y,z'
loop_
_atom_site_label
_atom_site_type_symbol
_atom_site_fract_x
_atom_site_fract_y
_atom_site_fract_z
_atom_site_occupancy
Sr1 Sr 0.0000 0.0000 0.0000 1
Zr1 Zr 0.5000 0.5000 0.2956 1
Zr2 Zr 0.5000 0.5000 0.7044 1
In1 In 0.0000 0.0000 0.5000 1
```

Output
DFT total energy: -5.203 eV/atom
energy relative to the elements: 0.176 eV/atom
DOS at the Fermi energy: 4.83 states/eV/f.u.